# 1
# ZnW3

A relaxed structure of ZnW3 (PBEsol, Alexandria via LeMat-Bulk).

The energy above the most stable polymorph in this dataset is 0.0 meV/atom. Its formation energy is 1.50 eV/f.u.

The structure belongs to space group I4/mmm (No. 139); the cell edges are 3.8304, 3.8304 and 8.2713 Å and the angles 90.00°, 90.00° and 90.00°. The asymmetric unit holds Zn at (0.0000, 0.0000, 0.0000), W at (0.0000, 0.0000, 0.5000) and W at (0.0000, 0.5000, 0.2500).

# 2
# MnRhPb2

A relaxed structure of MnRhPb2 (PBEsol, Alexandria via LeMat-Bulk).

Its formation energy is 1.15 eV/f.u.

The structure belongs to space group Imm2 (No. 44); the cell edges are 3.2135, 4.5660 and 11.0968 Å and the angles 90.00°, 90.00° and 90.00°. The asymmetric unit holds Mn at (0.0000, 0.0000, 0.0000), Rh at (0.0000, 0.5000, 0.3201), Pb at (0.0000, 0.0000, 0.5822) and Pb at (0.0000, 0.5000, 0.7989).

# 3
# Cr2TeRuCl

A relaxed structure of Cr2TeRuCl (PBEsol, Alexandria via LeMat-Bulk).

For the uncorrected formation energy, the calculation gives 1326 meV/atom.

The structure belongs to space group P4/mmm (No. 123); the cell edges are 4.1052, 4.1052 and 5.2844 Å and the angles 90.00°, 90.00° and 90.00°. The asymmetric unit holds Cr at (0.0000, 0.5000, 0.0000), Te at (0.0000, 0.0000, 0.5000), Ru at (0.5000, 0.5000, 0.5000) and Cl at (0.0000, 0.0000, 0.0000).

# 4
# ZnNiRh

A relaxed structure of ZnNiRh (PBEsol, Alexandria via LeMat-Bulk).

Its formation energy is 0.59 eV/f.u.

The structure belongs to space group F-43m (No. 216); the cell edges are 5.5453, 5.5453 and 5.5453 Å and the angles 90.00°, 90.00° and 90.00°. The asymmetric unit holds Zn at (0.0000, 0.0000, 0.0000), Ni at (0.2500, 0.2500, 0.7500) and Rh at (0.0000, 0.0000, 0.5000).

# 5
# P5Ir

A relaxed structure of P5Ir (PBEsol, Alexandria via LeMat-Bulk).

Its formation energy is 1.10 eV/f.u.

The structure belongs to space group Cm (No. 8); the cell edges are 10.9287, 3.2072 and 6.3883 Å and the angles 90.00°, 109.74° and 90.00°. The asymmetric unit holds P at (0.0000, 0.0000, 0.0000), P at (0.0502, 0.0000, 0.4609), P at (0.1096, 0.5000, 0.8941), P at (0.2733, 0.0000, 0.6146), P at (0.3308, 0.0000, 0.3177) and Ir at (0.1591, 0.5000, 0.2943).

# 6
# CaTlRh2

A relaxed structure of CaTlRh2 (PBEsol, Alexandria via LeMat-Bulk).

Its formation energy is 0.70 eV/f.u.

The structure belongs to space group R-3m (No. 166, hexagonal axes); the cell edges are 3.2147, 3.2147 and 25.1782 Å and the angles 90.00°, 90.00° and 120.00°. The asymmetric unit holds Ca at (0.0000, 0.0000, 0.0000), Tl at (0.0000, 0.0000, 0.5000) and Rh at (0.0000, 0.0000, 0.2466).